Entry 1:
Here is a relaxed SrTaS2 crystal from the Alexandria database. Energies are from PBE-GGA.

It has space group Fm-3m (No. 225), with a = 6.684 Å, b = 6.684 Å, c = 6.684 Å, α = 90.00°, β = 90.00° and γ = 90.00°. Symmetry generates all atoms from Sr at (0.000, 0.000, 0.000), Ta at (0.000, 0.000, 0.500) and S at (0.250, 0.250, 0.250).

As for the density of states at the Fermi level: 10.08 states/eV per cell. For the total energy, the calculation gives -6.035 eV per atom. The calculation puts the magnetic moment at 0.250 μB per atom. The energy above the lowest structure with this stoichiometry comes out at 228 meV per atom.

***

Entry 2:
Here is a relaxed Pm3SiTe2 crystal from the Alexandria database. Energies are from PBE-GGA.

It has space group C2/c (No. 15), with a = 7.722 Å, b = 13.174 Å, c = 7.567 Å, α = 90.00°, β = 109.66° and γ = 90.00°. Symmetry generates all atoms from Pm at (0.219, 0.074, 0.496), Pm at (0.250, 0.250, 0.000), Si at (0.000, 0.089, 0.750), Te at (0.000, 0.258, 0.250) and Te at (0.000, 0.419, 0.750).

As for the density of states at the Fermi level: 6.75 states/eV per cell. For the total energy, the calculation gives -5.586 eV per atom. The calculation puts the magnetic moment at 0.000 μB per atom. The energy above the lowest structure with this stoichiometry comes out at 14 meV per atom.

***

Entry 3:
Here is a relaxed GaGeF3 crystal from the Alexandria database. Energies are from PBE-GGA.

It has space group Pm-3m (No. 221), with a = 4.428 Å, b = 4.428 Å, c = 4.428 Å, α = 90.00°, β = 90.00° and γ = 90.00°. Symmetry generates all atoms from Ga at (0.000, 0.000, 0.000), Ge at (0.500, 0.500, 0.500) and F at (0.000, 0.500, 0.500).

As for the density of states at the Fermi level: 0.00 states/eV per cell. For the total energy, the calculation gives -4.393 eV per atom. The calculation puts the magnetic moment at 0.000 μB per atom.

***

Entry 4:
Here is a relaxed ZrReAu crystal from the Alexandria database. Energies are from PBE-GGA.

It has space group Imm2 (No. 44), with a = 2.873 Å, b = 4.129 Å, c = 9.147 Å, α = 90.00°, β = 90.00° and γ = 90.00°. Symmetry generates all atoms from Zr at (0.000, 0.000, 0.000), Re at (0.000, 0.000, 0.338) and Au at (0.000, 0.000, 0.678).

As for the density of states at the Fermi level: 6.05 states/eV per cell. For the total energy, the calculation gives -7.990 eV per atom. The calculation puts the magnetic moment at 0.000 μB per atom. The energy above the lowest structure with this stoichiometry comes out at 19 meV per atom. The formation energy comes out at 0.10 eV per atom.

***

Entry 5:
Here is a relaxed Ca5YAu6 crystal from the Alexandria database. Energies are from PBE-GGA.

It has space group C2/m (No. 12), with a = 8.855 Å, b = 15.439 Å, c = 5.137 Å, α = 90.00°, β = 125.10° and γ = 90.00°. Symmetry generates all atoms from Ca at (0.000, 0.000, 0.000), Ca at (0.000, 0.164, 0.500), Ca at (0.000, 0.329, 0.000), Y at (0.000, 0.500, 0.500), Au at (0.232, 0.500, 0.231) and Au at (0.243, 0.338, 0.742).

As for the density of states at the Fermi level: 15.74 states/eV per cell. For the total energy, the calculation gives -3.812 eV per atom. The calculation puts the magnetic moment at 0.000 μB per atom. The formation energy comes out at -0.80 eV per atom.

***

Entry 6:
Here is a relaxed PmTmCuPb crystal from the Alexandria database. Energies are from PBE-GGA.

It has space group F-43m (No. 216), with a = 7.407 Å, b = 7.407 Å, c = 7.407 Å, α = 90.00°, β = 90.00° and γ = 90.00°. Symmetry generates all atoms from Pm at (0.000, 0.000, 0.000), Tm at (0.000, 0.000, 0.500), Cu at (0.250, 0.250, 0.250) and Pb at (0.250, 0.250, 0.750).

As for the density of states at the Fermi level: 17.01 states/eV per cell. For the total energy, the calculation gives -4.539 eV per atom. The calculation puts the magnetic moment at 0.007 μB per atom. The formation energy comes out at -0.28 eV per atom.